A plane-wave DFT calculation with GGA-PBE was carried out for a relaxed BaNb3I crystal.

Raw total energy (eV/atom): -4.160
Energy relative to the lowest polymorph listed for this composition (meV per atom): 1164
Fermi-level density of states (states/eV/cell): 6.97

```
5
Lattice="5.188 0.000 0.000 0.000 5.188 0.000 0.000 0.000 5.188" Properties=species:S:1:pos:R:3 pbc="T T T"
Ba 0.000 0.000 0.000
Nb 0.000 0.000 2.594
Nb 0.000 2.594 0.000
Nb 2.594 0.000 0.000
I 2.594 2.594 2.594
```